1.
Sr2ErReO6 after structural relaxation, computed with PBE.

a = 5.732 Å, b = 5.765 Å, c = 5.778 Å
α = 60.63°, β = 60.94°, γ = 60.21°
Atoms (fractional coordinates):
Er  0.500  0.000  0.500
O  0.729  0.793  0.182
O  0.714  0.311  0.203
O  0.157  0.272  0.314
O  0.843  0.728  0.686
O  0.286  0.689  0.797
O  0.271  0.207  0.818
Re  0.000  0.500  0.000
Sr  0.257  0.749  0.239
Sr  0.743  0.251  0.761

Space group: P-1, No. 2
Polymorph energy (0 for the lowest one) in meV/atom: 0.0
Energy in eV for the cell shown: -76.454

=====

2.
Cu8Sb after structural relaxation, computed with PBE.

a = 4.412 Å, b = 4.412 Å, c = 24.942 Å
α = 90.11°, β = 90.11°, γ = 47.63°
Atoms (fractional coordinates):
Cu  0.246  0.246  0.254
Cu  0.551  0.551  0.288
Cu  0.852  0.852  0.321
Cu  0.153  0.153  0.354
Cu  0.454  0.454  0.387
Cu  0.753  0.753  0.418
Cu  0.052  0.052  0.452
Cu  0.350  0.350  0.484
Cu  0.650  0.650  0.516
Cu  0.948  0.948  0.548
Cu  0.247  0.247  0.582
Cu  0.546  0.546  0.613
Cu  0.847  0.847  0.646
Cu  0.148  0.148  0.679
Cu  0.449  0.449  0.712
Cu  0.754  0.754  0.746
Sb  0.948  0.948  0.211
Sb  0.052  0.052  0.789

Space group: C2/m, No. 12
Energy in eV for the cell shown: -67.052

=====

3.
Lu2CoTe after structural relaxation, computed with PBE.

a = 4.939 Å, b = 4.939 Å, c = 4.939 Å
α = 60.00°, β = 60.00°, γ = 60.00°
Atoms (fractional coordinates):
Co  0.250  0.250  0.250
Lu  0.000  0.000  0.000
Lu  0.750  0.750  0.750
Te  0.500  0.500  0.500

Space group: F-43m, No. 216
Energy in eV for the cell shown: -18.782

=====

The highest energy belongs to which entry? Lu2CoTe

=====

The lowest energy belongs to which entry? Sr2ErReO6

=====

Which of these has the lowest energy? Sr2ErReO6

=====

The highest energy belongs to which entry? Lu2CoTe